#1
Crystalline Li6AcTl2 at its relaxed geometry, computed with PBE. Values from VASP.

DOS at the Fermi energy: 5.603 states/eV/f.u.
SG: C2/m, No. 12

Cell and atoms, written as Quantum ESPRESSO input:
```
&SYSTEM
  ibrav = 0, nat = 9, ntyp = 3
/
ATOMIC_SPECIES
Li 6.94 Li.upf
Tl 204.38 Tl.upf
Ac 227.00 Ac.upf
CELL_PARAMETERS angstrom
-1.3693 -2.0824 -4.2669
1.3243 -7.6243 0.4001
-4.7387 -5.9387 1.5233
ATOMIC_POSITIONS crystal
Li 0.2979 0.9415 0.4635
Li 0.5000 0.3177 0.6823
Li 0.5000 0.6823 0.3177
Li 0.7021 0.5365 0.0585
Li 0.2979 0.4635 0.9415
Li 0.7021 0.0585 0.5365
Tl 0.8802 0.6206 0.6206
Tl 0.1198 0.3794 0.3794
Ac 0.0000 0.0000 0.0000
```



#2
Crystalline Li6AcTl2 at its relaxed geometry, computed with PBE. Values from VASP.

DOS at the Fermi energy: 4.840 states/eV/f.u.
SG: P4/mmm, No. 123

Cell and atoms, written as Quantum ESPRESSO input:
```
&SYSTEM
  ibrav = 0, nat = 9, ntyp = 3
/
ATOMIC_SPECIES
Li 6.94 Li.upf
Tl 204.38 Tl.upf
Ac 227.00 Ac.upf
CELL_PARAMETERS angstrom
4.6607 0.0000 0.0000
0.0000 4.6607 0.0000
0.0000 0.0000 9.8651
ATOMIC_POSITIONS crystal
Li 0.0000 0.0000 0.5000
Li 0.5000 0.0000 0.6866
Li 0.0000 0.5000 0.6866
Li 0.5000 0.5000 0.5000
Li 0.5000 0.0000 0.3134
Li 0.0000 0.5000 0.3134
Tl 0.5000 0.5000 0.1548
Tl 0.5000 0.5000 0.8452
Ac 0.0000 0.0000 0.0000
```



Relative energies in meV/atom: #1 56; #2 0



#1
Crystalline Li2Ac3Tl7 at its relaxed geometry, computed with PBE. Values from VASP.

DOS at the Fermi energy: 11.731 states/eV/f.u.
SG: P2/m, No. 10

Cell and atoms, written as Quantum ESPRESSO input:
```
&SYSTEM
  ibrav = 0, nat = 12, ntyp = 3
/
ATOMIC_SPECIES
Tl 204.38 Tl.upf
Ac 227.00 Ac.upf
Li 6.94 Li.upf
CELL_PARAMETERS angstrom
4.8765 0.0000 0.0000
0.0000 4.9094 0.0037
0.0000 -2.4307 14.8271
ATOMIC_POSITIONS crystal
Tl 0.5000 0.2796 0.5599
Tl 0.0000 0.0000 0.0000
Tl 0.5000 0.9141 0.8259
Tl 0.0000 0.4139 0.8258
Tl 0.5000 0.7204 0.4401
Tl 0.0000 0.5861 0.1742
Tl 0.5000 0.0859 0.1741
Ac 0.0000 0.8146 0.6303
Ac 0.0000 0.1854 0.3697
Ac 0.5000 0.5000 0.0000
Li 0.5000 0.6292 0.2619
Li 0.5000 0.3708 0.7381
```



#2
Crystalline Li2Ac3Tl7 at its relaxed geometry, computed with PBE. Values from VASP.

DOS at the Fermi energy: 8.913 states/eV/f.u.
SG: I4/mmm, No. 139

Cell and atoms, written as Quantum ESPRESSO input:
```
&SYSTEM
  ibrav = 0, nat = 12, ntyp = 3
/
ATOMIC_SPECIES
Tl 204.38 Tl.upf
Li 6.94 Li.upf
Ac 227.00 Ac.upf
CELL_PARAMETERS angstrom
4.7354 0.0000 -0.6504
-0.0893 4.7345 -0.6504
-0.1857 -0.1892 16.2117
ATOMIC_POSITIONS crystal
Tl 0.0836 0.5836 0.1671
Tl 0.7771 0.7771 0.5541
Tl 0.9164 0.4164 0.8329
Tl 0.0000 0.0000 0.0000
Tl 0.4164 0.9164 0.8329
Tl 0.2229 0.2229 0.4459
Tl 0.5836 0.0836 0.1671
Li 0.8665 0.8665 0.7329
Li 0.1335 0.1335 0.2671
Ac 0.5000 0.5000 0.0000
Ac 0.3320 0.3320 0.6639
Ac 0.6680 0.6680 0.3361
```



Relative energies in meV/atom: #1 0; #2 60



#1
Crystalline LiAc2Tl2 at its relaxed geometry, computed with PBE. Values from VASP.

DOS at the Fermi energy: 6.116 states/eV/f.u.
SG: Ibam, No. 72

Cell and atoms, written as Quantum ESPRESSO input:
```
&SYSTEM
  ibrav = 0, nat = 10, ntyp = 3
/
ATOMIC_SPECIES
Ac 227.00 Ac.upf
Tl 204.38 Tl.upf
Li 6.94 Li.upf
CELL_PARAMETERS angstrom
6.8071 0.0000 0.0000
0.0000 7.1143 0.0000
-3.4036 -3.5572 6.9827
ATOMIC_POSITIONS crystal
Ac 0.8536 0.6532 0.7072
Ac 0.1464 0.3468 0.2928
Ac 0.6464 0.9461 0.2928
Ac 0.3536 0.0539 0.7072
Tl 0.8923 0.1756 0.7847
Tl 0.6077 0.3909 0.2153
Tl 0.1077 0.8244 0.2153
Tl 0.3923 0.6091 0.7847
Li 0.2500 0.5000 0.0000
Li 0.7500 0.5000 0.0000
```



#2
Crystalline LiAc2Tl2 at its relaxed geometry, computed with PBE. Values from VASP.

DOS at the Fermi energy: 5.126 states/eV/f.u.
SG: C2/m, No. 12

Cell and atoms, written as Quantum ESPRESSO input:
```
&SYSTEM
  ibrav = 0, nat = 10, ntyp = 3
/
ATOMIC_SPECIES
Ac 227.00 Ac.upf
Tl 204.38 Tl.upf
Li 6.94 Li.upf
CELL_PARAMETERS angstrom
4.9137 0.0000 1.1646
2.4400 5.9462 0.6534
-0.0204 -0.2189 11.0349
ATOMIC_POSITIONS crystal
Ac 0.0788 0.7395 0.1029
Ac 0.6770 0.3121 0.3338
Ac 0.3230 0.6879 0.6662
Ac 0.9212 0.2605 0.8971
Tl 0.9240 0.7259 0.4261
Tl 0.0760 0.2741 0.5739
Tl 0.3579 0.1608 0.1233
Tl 0.6421 0.8392 0.8767
Li 0.6414 0.0806 0.6366
Li 0.3586 0.9194 0.3634
```



Relative energies in meV/atom: #1 93; #2 0



#1
Crystalline LiAcTm2 at its relaxed geometry, computed with PBE. Values from VASP.

DOS at the Fermi energy: 4.354 states/eV/f.u.
SG: R-3m, No. 166

Cell and atoms, written as Quantum ESPRESSO input:
```
&SYSTEM
  ibrav = 0, nat = 4, ntyp = 3
/
ATOMIC_SPECIES
Tm 168.93 Tm.upf
Ac 227.00 Ac.upf
Li 6.94 Li.upf
CELL_PARAMETERS angstrom
3.5806 0.0000 0.0000
1.7903 3.1009 0.0000
1.7903 1.0336 12.2500
ATOMIC_POSITIONS crystal
Tm 0.0869 0.0869 0.7394
Tm 0.9131 0.9131 0.2606
Ac 0.5000 0.5000 0.5000
Li 0.0000 0.0000 0.0000
```



#2
Crystalline LiAcTm2 at its relaxed geometry, computed with PBE. Values from VASP.

DOS at the Fermi energy: 4.175 states/eV/f.u.
SG: Fm-3m, No. 225

Cell and atoms, written as Quantum ESPRESSO input:
```
&SYSTEM
  ibrav = 0, nat = 4, ntyp = 3
/
ATOMIC_SPECIES
Tm 168.93 Tm.upf
Ac 227.00 Ac.upf
Li 6.94 Li.upf
CELL_PARAMETERS angstrom
5.6562 0.0000 0.0000
2.8281 4.8984 0.0000
2.8281 1.6328 4.6183
ATOMIC_POSITIONS crystal
Tm 0.7500 0.7500 0.7500
Tm 0.2500 0.2500 0.2500
Ac 0.0000 0.0000 0.0000
Li 0.5000 0.5000 0.5000
```



#3
Crystalline LiAcTm2 at its relaxed geometry, computed with PBE. Values from VASP.

DOS at the Fermi energy: 5.575 states/eV/f.u.
SG: R3m, No. 160

Cell and atoms, written as Quantum ESPRESSO input:
```
&SYSTEM
  ibrav = 0, nat = 4, ntyp = 3
/
ATOMIC_SPECIES
Ac 227.00 Ac.upf
Tm 168.93 Tm.upf
Li 6.94 Li.upf
CELL_PARAMETERS angstrom
3.6124 0.0000 0.0000
1.8062 3.1284 0.0000
1.8062 1.0428 11.3399
ATOMIC_POSITIONS crystal
Ac 0.5002 0.5002 0.4994
Tm 0.2571 0.2571 0.2286
Tm 0.0762 0.0762 0.7714
Li 0.6664 0.6664 0.0007
```



Relative energies in meV/atom: #1 75; #2 68; #3 0



#1
Crystalline Li2AcTm at its relaxed geometry, computed with PBE. Values from VASP.

DOS at the Fermi energy: 5.645 states/eV/f.u.
SG: Fm-3m, No. 225

Cell and atoms, written as Quantum ESPRESSO input:
```
&SYSTEM
  ibrav = 0, nat = 4, ntyp = 3
/
ATOMIC_SPECIES
Li 6.94 Li.upf
Tm 168.93 Tm.upf
Ac 227.00 Ac.upf
CELL_PARAMETERS angstrom
-0.4524 1.5388 -5.2463
-4.0786 -1.9708 -3.0947
-4.1056 3.2928 -1.5485
ATOMIC_POSITIONS crystal
Li 0.2500 0.2500 0.2500
Li 0.7500 0.7500 0.7500
Tm 0.0000 0.0000 0.0000
Ac 0.5000 0.5000 0.5000
```



#2
Crystalline Li2AcTm at its relaxed geometry, computed with PBE. Values from VASP.

DOS at the Fermi energy: 4.051 states/eV/f.u.
SG: P4/mmm, No. 123

Cell and atoms, written as Quantum ESPRESSO input:
```
&SYSTEM
  ibrav = 0, nat = 4, ntyp = 3
/
ATOMIC_SPECIES
Li 6.94 Li.upf
Tm 168.93 Tm.upf
Ac 227.00 Ac.upf
CELL_PARAMETERS angstrom
3.8432 0.0000 0.0000
0.0000 3.8432 0.0000
0.0000 0.0000 7.7521
ATOMIC_POSITIONS crystal
Li 0.0000 0.0000 0.2262
Li 0.0000 0.0000 0.7738
Tm 0.5000 0.5000 0.0000
Ac 0.5000 0.5000 0.5000
```



Relative energies in meV/atom: #1 14; #2 0



#1
Crystalline LiAc2Y at its relaxed geometry, computed with PBE. Values from VASP.

DOS at the Fermi energy: 7.124 states/eV/f.u.
SG: P4/mmm, No. 123

Cell and atoms, written as Quantum ESPRESSO input:
```
&SYSTEM
  ibrav = 0, nat = 4, ntyp = 3
/
ATOMIC_SPECIES
Y 88.91 Y.upf
Li 6.94 Li.upf
Ac 227.00 Ac.upf
CELL_PARAMETERS angstrom
3.9943 0.0000 0.0000
0.0000 3.9943 0.0000
0.0000 0.0000 9.0848
ATOMIC_POSITIONS crystal
Y 0.5000 0.5000 0.5000
Li 0.5000 0.5000 0.0000
Ac 0.0000 0.0000 0.2297
Ac 0.0000 0.0000 0.7703
```



#2
Crystalline LiAc2Y at its relaxed geometry, computed with PBE. Values from VASP.

DOS at the Fermi energy: 3.617 states/eV/f.u.
SG: R3m, No. 160

Cell and atoms, written as Quantum ESPRESSO input:
```
&SYSTEM
  ibrav = 0, nat = 4, ntyp = 3
/
ATOMIC_SPECIES
Y 88.91 Y.upf
Ac 227.00 Ac.upf
Li 6.94 Li.upf
CELL_PARAMETERS angstrom
-2.9712 0.5491 -2.3482
0.4901 -0.2173 -3.7889
-3.2359 -11.4264 -1.6955
ATOMIC_POSITIONS crystal
Y 0.4997 0.4997 0.5008
Ac 0.0822 0.0822 0.7535
Ac 0.2510 0.2510 0.2471
Li 0.6671 0.6671 0.9986
```



Relative energies in meV/atom: #1 0; #2 15